1.
Density functional theory data (PBE) for a geometry-optimized Y2HoAg4Sn4 structure.

POSCAR file:
```
Y2HoAg4Sn4
1.0
1.239 -8.126 -3.083
5.848 -5.398 3.706
-7.303 4.834 0.606
Sn Y Ag Ho
4 2 4 1
direct
0.787 0.787 0.000
0.698 0.500 0.198
0.302 0.500 0.802
0.213 0.213 0.000
0.373 0.873 0.500
0.627 0.127 0.500
0.372 0.672 0.699
0.628 0.328 0.301
0.027 0.328 0.699
0.973 0.672 0.301
0.000 0.000 0.000
```

Space-group type: Immm (71)
Mass density (Mg/m³): 8.1
Calculated total energy (eV per atom): -4.568

***

2.
Density functional theory data (PBE) for a geometry-optimized YHoAg2Sn2 structure.

POSCAR file:
```
YHoAg2Sn2
1.0
-1.555 -1.288 -4.278
3.731 -2.186 1.918
-4.464 -4.901 3.099
Ho Ag Y Sn
1 2 1 2
direct
0.000 0.000 0.260
0.667 0.333 0.450
0.333 0.667 0.951
0.000 0.000 0.760
0.333 0.667 0.539
0.667 0.333 0.040
```

Space-group type: P3m1 (156)
Mass density (Mg/m³): 8.3
Calculated total energy (eV per atom): -4.716

***

3.
Density functional theory data (PBE) for a geometry-optimized SrHoAgTe3 structure.

POSCAR file:
```
SrHoAgTe3
1.0
9.800 -2.198 0.000
9.800 2.198 0.000
-1.892 0.000 8.839
Ho Te Sr Ag
2 6 2 2
direct
0.164 0.164 0.090
0.836 0.836 0.910
0.674 0.674 0.859
0.000 0.000 0.000
0.315 0.315 0.665
0.500 0.500 0.500
0.326 0.326 0.141
0.685 0.685 0.335
0.872 0.872 0.426
0.128 0.128 0.574
0.539 0.539 0.211
0.461 0.461 0.789
```

Space-group type: C2/m (12)
Mass density (Mg/m³): 6.5
Calculated total energy (eV per atom): -4.258

***

4.
Density functional theory data (PBE) for a geometry-optimized SrHoAgTe3 structure.

POSCAR file:
```
SrHoAgTe3
1.0
8.459 0.000 0.000
0.000 4.350 0.000
-3.014 0.000 10.183
Sr Ag Ho Te
2 2 2 6
direct
0.741 0.250 0.791
0.259 0.750 0.209
0.584 0.250 0.092
0.416 0.750 0.908
0.189 0.250 0.665
0.811 0.750 0.335
0.217 0.250 0.960
0.564 0.250 0.351
0.075 0.250 0.361
0.783 0.750 0.040
0.436 0.750 0.649
0.925 0.750 0.639
```

Space-group type: P2_1/m (11)
Mass density (Mg/m³): 6.6
Calculated total energy (eV per atom): -4.291

***

5.
Density functional theory data (PBE) for a geometry-optimized HoTaAg structure.

POSCAR file:
```
HoTaAg
1.0
4.012 0.295 2.553
4.210 0.329 -2.207
2.446 4.087 0.131
Ho Ta Ag
1 1 1
direct
0.000 0.000 0.000
0.250 0.250 0.250
0.750 0.750 0.750
```

Formation energy (meV/atom): 1361
Space-group type: F-43m (216)
Mass density (Mg/m³): 9.9
Calculated total energy (eV per atom): -5.057

***

6.
Density functional theory data (PBE) for a geometry-optimized TbHoAg4 structure.

POSCAR file:
```
TbHoAg4
1.0
3.722 0.000 0.000
0.000 3.722 0.000
0.000 0.000 9.221
Ag Tb Ho
4 1 1
direct
0.000 0.000 0.671
0.500 0.500 0.169
0.000 0.000 0.329
0.500 0.500 0.831
0.500 0.500 0.500
0.000 0.000 0.000
```

Formation energy (meV/atom): -329
Space-group type: P4/mmm (123)
Mass density (Mg/m³): 9.8
Calculated total energy (eV per atom): -3.746

***

7.
Density functional theory data (PBE) for a geometry-optimized TbHoAg4 structure.

POSCAR file:
```
TbHoAg4
1.0
3.702 0.000 0.000
1.850 4.981 0.000
1.846 2.147 6.952
Ho Ag Tb
1 4 1
direct
0.499 0.003 0.502
0.830 0.505 0.339
0.830 0.009 0.834
0.169 0.500 0.665
0.169 0.997 0.169
0.499 0.503 0.002
```

Formation energy (meV/atom): -330
Space-group type: C2/m (12)
Mass density (Mg/m³): 9.8
Calculated total energy (eV per atom): -3.747

***

8.
Density functional theory data (PBE) for a geometry-optimized TbHoTlAg2 structure.

POSCAR file:
```
TbHoTlAg2
1.0
3.516 0.000 0.000
0.000 2.294 7.404
0.000 -2.294 7.404
Ag Tl Tb Ho
2 1 1 1
direct
0.500 0.198 0.198
0.500 0.801 0.801
0.500 0.000 0.000
0.000 0.379 0.379
0.000 0.622 0.622
```

Space-group type: Amm2 (38)
Mass density (Mg/m³): 10.3
Calculated total energy (eV per atom): -3.749

***

9.
Density functional theory data (PBE) for a geometry-optimized HoAgTe structure.

POSCAR file:
```
HoAgTe
1.0
0.000 3.541 3.541
3.541 0.000 3.541
3.541 3.541 0.000
Ho Te Ag
1 1 1
direct
0.250 0.250 0.250
0.500 0.500 0.500
0.000 0.000 0.000
```

Space-group type: F-43m (216)
Mass density (Mg/m³): 7.5
Calculated total energy (eV per atom): -4.068

***

10.
Density functional theory data (PBE) for a geometry-optimized Ho6AgTe2 structure.

POSCAR file:
```
Ho6AgTe2
1.0
-5.448 3.791 -5.214
-2.747 -5.792 5.491
-0.601 2.833 2.688
Te Ho Ag
2 6 1
direct
0.667 0.333 0.500
0.333 0.667 0.500
0.745 0.000 0.500
0.597 0.597 0.000
0.000 0.403 0.000
0.000 0.745 0.500
0.255 0.255 0.500
0.403 0.000 0.000
0.000 0.000 0.000
```

Space-group type: P-62m (189)
Mass density (Mg/m³): 9.2
Calculated total energy (eV per atom): -4.692

***

11.
Density functional theory data (PBE) for a geometry-optimized HoAgTe structure.

POSCAR file:
```
HoAgTe
1.0
0.000 3.448 3.448
3.448 0.000 3.448
3.448 3.448 0.000
Te Ho Ag
1 1 1
direct
0.750 0.750 0.750
0.250 0.250 0.250
0.000 0.000 0.000
```

Space-group type: F-43m (216)
Mass density (Mg/m³): 8.1
Calculated total energy (eV per atom): -3.824

***

12.
Density functional theory data (PBE) for a geometry-optimized Ho2AgTe3 structure.

POSCAR file:
```
Ho2AgTe3
1.0
-3.435 -5.790 8.649
0.455 -3.510 -2.169
13.805 -1.130 4.726
Te Ag Ho
12 4 8
direct
0.074 0.750 0.598
0.762 0.250 0.638
0.458 0.750 0.601
0.262 0.250 0.862
0.574 0.750 0.902
0.738 0.750 0.138
0.542 0.250 0.399
0.238 0.750 0.362
0.926 0.250 0.402
0.426 0.250 0.098
0.042 0.250 0.101
0.958 0.750 0.899
0.262 0.750 0.726
0.238 0.250 0.226
0.738 0.250 0.274
0.762 0.750 0.774
0.513 0.250 0.752
0.013 0.250 0.748
0.987 0.750 0.252
0.268 0.250 0.527
0.487 0.750 0.248
0.232 0.750 0.027
0.768 0.250 0.973
0.732 0.750 0.473
```

Space-group type: Pnma (62)
Mass density (Mg/m³): 8.2
Calculated total energy (eV per atom): -4.549

***

13.
Density functional theory data (PBE) for a geometry-optimized YHoTlAg2 structure.

POSCAR file:
```
YHoTlAg2
1.0
3.523 0.000 0.000
0.000 2.289 7.391
0.000 -2.289 7.391
Ho Y Tl Ag
1 1 1 2
direct
0.000 0.377 0.377
0.000 0.621 0.621
0.500 0.000 0.000
0.500 0.802 0.802
0.500 0.199 0.199
```

Space-group type: Amm2 (38)
Mass density (Mg/m³): 9.4
Calculated total energy (eV per atom): -4.123

***

14.
Density functional theory data (PBE) for a geometry-optimized HoTm2Ag3 structure.

POSCAR file:
```
HoTm2Ag3
1.0
-0.908 -3.052 -1.613
2.944 0.186 -2.009
5.472 -5.592 7.500
Tm Ag Ho
2 3 1
direct
0.000 0.000 0.834
0.000 0.000 0.166
0.500 0.500 0.330
0.500 0.500 0.670
0.500 0.500 0.000
0.000 0.000 0.500
```

Formation energy (meV/atom): -347
Space-group type: P4/mmm (123)
Mass density (Mg/m³): 9.9
Calculated total energy (eV per atom): -4.013

***

15.
Density functional theory data (PBE) for a geometry-optimized HoTmAg structure.

POSCAR file:
```
HoTmAg
1.0
0.000 3.440 3.440
3.440 0.000 3.440
3.440 3.440 0.000
Tm Ho Ag
1 1 1
direct
0.000 0.000 0.000
0.750 0.750 0.750
0.250 0.250 0.250
```

Formation energy (meV/atom): 580
Space-group type: F-43m (216)
Mass density (Mg/m³): 9.0
Calculated total energy (eV per atom): -3.379

***

16.
Density functional theory data (PBE) for a geometry-optimized HoTmAg6 structure.

POSCAR file:
```
HoTmAg6
1.0
-1.457 4.546 -1.476
-4.723 -0.273 3.821
2.902 2.144 3.740
Ag Ho Tm
6 1 1
direct
0.500 0.000 0.175
0.000 0.500 0.826
0.000 0.746 0.341
0.000 0.254 0.341
0.500 0.246 0.659
0.500 0.754 0.659
0.000 0.000 0.847
0.500 0.500 0.153
```

Formation energy (meV/atom): -270
Space-group type: Pmm2 (25)
Mass density (Mg/m³): 10.3
Calculated total energy (eV per atom): -3.520

***

17.
Density functional theory data (PBE) for a geometry-optimized HoTmAg4 structure.

POSCAR file:
```
HoTmAg4
1.0
3.693 0.000 0.000
0.000 3.693 0.000
0.000 0.000 9.201
Tm Ag Ho
1 4 1
direct
0.500 0.500 0.500
0.500 0.500 0.830
0.500 0.500 0.170
0.000 0.000 0.331
0.000 0.000 0.669
0.000 0.000 0.000
```

Formation energy (meV/atom): -341
Space-group type: P4/mmm (123)
Mass density (Mg/m³): 10.1
Calculated total energy (eV per atom): -3.732

***

18.
Density functional theory data (PBE) for a geometry-optimized Ho2TmAg3 structure.

POSCAR file:
```
Ho2TmAg3
1.0
-0.646 -0.061 -3.522
2.798 -2.185 -0.475
-6.494 -8.609 1.342
Ag Ho Tm
3 2 1
direct
0.000 0.000 0.337
0.000 0.000 0.000
0.000 0.000 0.663
0.500 0.500 0.832
0.500 0.500 0.168
0.500 0.500 0.500
```

Formation energy (meV/atom): -344
Space-group type: P4/mmm (123)
Mass density (Mg/m³): 9.8
Calculated total energy (eV per atom): -4.027

***

19.
Density functional theory data (PBE) for a geometry-optimized HoAgW structure.

POSCAR file:
```
HoAgW
1.0
0.000 3.341 3.341
3.341 0.000 3.341
3.341 3.341 0.000
W Ag Ho
1 1 1
direct
0.750 0.750 0.750
0.250 0.250 0.250
0.000 0.000 0.000
```

Formation energy (meV/atom): 1503
Space-group type: F-43m (216)
Mass density (Mg/m³): 10.2
Calculated total energy (eV per atom): -5.284

***

20.
Density functional theory data (PBE) for a geometry-optimized YHoAg2 structure.

POSCAR file:
```
YHoAg2
1.0
4.752 0.000 0.000
0.000 1.846 5.503
0.000 -1.846 5.503
Ag Ho Y
2 1 1
direct
0.500 0.079 0.079
0.000 0.920 0.920
0.500 0.358 0.358
0.000 0.643 0.643
```

Formation energy (meV/atom): -304
Space-group type: Amm2 (38)
Mass density (Mg/m³): 8.1
Calculated total energy (eV per atom): -4.476